# La3PW

La3PW at its PBEsol-relaxed geometry (SCAN, Alexandria via LeMat-Bulk).

Results
Fermi-level density of states: 1.197 states/eV per atom
Spin magnetization: 2.6 μB/f.u.
Formation energy from the elements: 183.1 kJ/mol of formula units
VASP energy: -207.5 eV/cell
Calculated density: 6.5 Mg/m³

Cell lengths 5.439, 5.439, 5.439 Å; angles 90.00, 90.00, 90.00 degrees
Each line ends with the local moment (μB).
Fractional positions:
P 0.000 0.000 0.000  0.02
W 0.500 0.500 0.500  2.62
La 0.000 0.500 0.000  -0.13
La 0.000 0.000 0.500  -0.13
La 0.500 0.000 0.000  -0.13